(1)
Density functional theory data (PBE-GGA) for a relaxed structure of ReSb3.

N(E_F), states/eV per cell: 3.6
Uncorrected formation energy, eV per atom: 0.8550
Total energy, eV/atom: -5.349
Calculated density, g/cm³: 6.3

Lattice parameters (Å, degrees): 5.2466 5.2466 5.2466 90.00 90.00 90.00
With the nearest neighbours (Å) after each atom.
Positions (direct):
Sb 0.5000 0.0000 0.0000  2 Re 2.62
Sb 0.0000 0.5000 0.0000  2 Re 2.62
Sb 0.0000 0.0000 0.5000  2 Re 2.62
Re 0.0000 0.0000 0.0000  6 Sb 2.62

***

(2)
Density functional theory data (PBE-GGA) for a relaxed structure of KTeAu2.

N(E_F), states/eV per cell: 1.7
Uncorrected formation energy, eV per atom: -0.0827
Total energy, eV/atom: -2.781
Calculated density, g/cm³: 8.3

Lattice parameters (Å, degrees): 5.6491 5.6491 5.6491 132.72 118.90 80.69
With the nearest neighbours (Å) after each atom.
Positions (direct):
Te 0.2500 0.7500 0.5000  4 Au 2.83
Au 0.0527 0.0527 0.0000  2 Te 2.83
Au 0.4473 0.4473 0.0000  2 Te 2.83
K 0.7500 0.2500 0.5000  8 Au 3.34-3.45, 4 Te 3.66

***

(3)
Density functional theory data (PBE-GGA) for a relaxed structure of TaSbMo2.

N(E_F), states/eV per cell: 3.8
Uncorrected formation energy, eV per atom: 0.1758
Total energy, eV/atom: -9.234
Calculated density, g/cm³: 11.7

Lattice parameters (Å, degrees): 5.2912 5.2912 5.2912 136.21 136.21 63.65
With the nearest neighbours (Å) after each atom.
Positions (direct):
Ta 0.7500 0.2500 0.5000  8 Mo 2.79-2.99, 4 Sb 2.99
Mo 0.0000 0.0000 0.0000  4 Sb 2.79, 4 Ta 2.99, 4 Mo 2.99
Mo 0.2500 0.7500 0.5000  4 Ta 2.79, 4 Sb 2.99, 4 Mo 2.99
Sb 0.5000 0.5000 0.0000  8 Mo 2.79-2.99, 4 Ta 2.99

***

(4)
Density functional theory data (PBE-GGA) for a relaxed structure of Ho2AgTe.

N(E_F), states/eV per cell: 3.5
Uncorrected formation energy, eV per atom: -0.6454
Total energy, eV/atom: -4.433
Calculated density, g/cm³: 9.3

Lattice parameters (Å, degrees): 3.8211 3.8211 6.9409 90.00 90.00 90.00
With the nearest neighbours (Å) after each atom.
Positions (direct):
Ag 0.5000 0.5000 0.0000  8 Ho 3.19, 2 Te 3.47
Ho 0.0000 0.0000 0.2442  4 Ag 3.19, 4 Te 3.23, 2 Ho 3.39-3.55
Ho 0.0000 0.0000 0.7558  4 Ag 3.19, 4 Te 3.23, 2 Ho 3.39-3.55
Te 0.5000 0.5000 0.5000  8 Ho 3.23, 2 Ag 3.47

***

(5)
Density functional theory data (PBE-GGA) for a relaxed structure of Cs2GeBr4.

Uncorrected formation energy, eV per atom: -1.3035
Total energy, eV/atom: -3.163
Calculated density, g/cm³: 3.8

Lattice parameters (Å, degrees): 5.5966 5.5966 9.9154 73.61 73.61 90.00
With the nearest neighbours (Å) after each atom.
Positions (direct):
Br 0.5000 0.0000 0.0000  2 Ge 2.80
Br 0.1562 0.1562 0.6876  1 Ge 2.84
Br 0.0000 0.5000 0.0000  2 Ge 2.80
Br 0.8438 0.8438 0.3124  1 Ge 2.84
Ge 0.0000 0.0000 0.0000  6 Br 2.80-2.84
Cs 0.3583 0.3583 0.2835  9 Br 3.67-3.97
Cs 0.6417 0.6417 0.7165  9 Br 3.67-3.97

***

(6)
Density functional theory data (PBE-GGA) for a relaxed structure of TlNiPd2N.

N(E_F), states/eV per cell: 3.6
Uncorrected formation energy, eV per atom: 0.1472
Total energy, eV/atom: -5.225
Calculated density, g/cm³: 11.3

Lattice parameters (Å, degrees): 4.4424 4.4424 3.6636 90.00 90.00 90.00
With the nearest neighbours (Å) after each atom.
Positions (direct):
Ni 0.0000 0.0000 0.5000  2 N 1.83
Pd 0.0000 0.5000 0.0000  2 N 2.22
Pd 0.5000 0.0000 0.0000  2 N 2.22
N 0.0000 0.0000 0.0000  2 Ni 1.83
Tl 0.5000 0.5000 0.5000  8 Pd 2.88, 4 Ni 3.14

***

(7)
Density functional theory data (PBE-GGA) for a relaxed structure of Pm2Nd3Dy2.

N(E_F), states/eV per cell: 9.9
Total energy, eV/atom: -4.703
Calculated density, g/cm³: 7.3
Energy relative to the elements, eV/atom: 0.013

Lattice parameters (Å, degrees): 3.6338 10.9002 8.1196 94.36 47.81 90.00
With the nearest neighbours (Å) after each atom.
Positions (direct):
Pm 0.1462 0.1432 0.5690  5 Nd 3.61-3.65, 3 Dy 3.62-3.64, 4 Pm 3.63-3.64
Pm 0.8538 0.8568 0.4310  5 Nd 3.61-3.65, 3 Dy 3.62-3.64, 4 Pm 3.63-3.64
Nd 0.0000 0.0000 0.0000  6 Pm 3.61-3.65, 4 Dy 3.63, 2 Nd 3.63
Nd 0.5737 0.5709 0.2841  5 Nd 3.60-3.64, 5 Dy 3.62-3.64, 2 Pm 3.64
Nd 0.4263 0.4291 0.7159  5 Nd 3.60-3.64, 5 Dy 3.62-3.64, 2 Pm 3.64
Dy 0.2857 0.2860 0.1429  3 Pm 3.62-3.64, 7 Nd 3.62-3.64, 2 Dy 3.63
Dy 0.7143 0.7140 0.8571  3 Pm 3.62-3.64, 7 Nd 3.62-3.64, 2 Dy 3.63

***

(8)
Density functional theory data (PBE-GGA) for a relaxed structure of MgSi2Tc.

N(E_F), states/eV per cell: 1.6
Uncorrected formation energy, eV per atom: -0.1460
Total energy, eV/atom: -5.848
Calculated density, g/cm³: 4.9

Lattice parameters (Å, degrees): 3.2080 3.2080 5.8585 90.00 90.00 90.00
With the nearest neighbours (Å) after each atom.
Positions (direct):
Si 0.5000 0.5000 0.2720  4 Tc 2.48, 4 Si 2.67
Si 0.0000 0.0000 0.0319  1 Tc 2.42, 4 Si 2.67
Tc 0.0000 0.0000 0.4442  5 Si 2.42-2.48
Mg 0.5000 0.5000 0.7518  6 Si 2.80-3.05, 4 Tc 2.90

***

(9)
Density functional theory data (PBE-GGA) for a relaxed structure of SbTe3.

N(E_F), states/eV per cell: 1.9
Uncorrected formation energy, eV per atom: 0.0095
Total energy, eV/atom: -3.377
Calculated density, g/cm³: 6.5

Lattice parameters (Å, degrees): 4.5126 3.1536 9.5498 71.32 90.00 90.00
With the nearest neighbours (Å) after each atom.
Positions (direct):
Te 0.5000 0.2388 0.7601  2 Sb 3.13, 4 Te 3.15-3.26
Te 0.5000 0.7612 0.2399  2 Sb 3.13, 4 Te 3.15-3.26
Te 0.0000 0.5000 0.5000  6 Te 3.15-3.26
Sb 0.0000 0.0000 0.0000  4 Te 3.13, 2 Sb 3.15

***

(10)
Density functional theory data (PBE-GGA) for a relaxed structure of RbNiAu2.

N(E_F), states/eV per cell: 9.5
Total energy, eV/atom: -3.208
Calculated density, g/cm³: 7.2
Energy relative to the elements, eV/atom: 0.117

Lattice parameters (Å, degrees): 5.4108 5.4108 9.2650 73.02 73.02 90.00
With the nearest neighbours (Å) after each atom.
Positions (direct):
Au 0.8750 0.6251 0.7500  2 Ni 2.51, 2 Au 2.71
Au 0.3751 0.1250 0.2500  2 Ni 2.51, 2 Au 2.71
Au 0.3750 0.6249 0.7500  2 Ni 2.51, 2 Au 2.71
Au 0.3749 0.6250 0.2500  2 Ni 2.51, 2 Au 2.71
Ni 0.2500 0.7500 0.5000  4 Au 2.51
Ni 0.5000 0.5000 0.0000  4 Au 2.51
Rb 0.7500 0.2500 0.5000  8 Au 3.69, 4 Ni 3.83
Rb 0.0000 0.0000 0.0000  8 Au 3.69, 4 Ni 3.83

***

(11)
Density functional theory data (PBE-GGA) for a relaxed structure of CdTe2RhN.

N(E_F), states/eV per cell: 3.9
Uncorrected formation energy, eV per atom: 0.2866
Total energy, eV/atom: -4.288
Calculated density, g/cm³: 7.0

Lattice parameters (Å, degrees): 5.6026 5.6026 3.6559 90.00 90.00 90.00
With the nearest neighbours (Å) after each atom.
Positions (direct):
Rh 0.0000 0.0000 0.0000  2 N 1.83
Te 0.5000 0.0000 0.0000  2 Rh 2.80
Te 0.0000 0.5000 0.0000  2 Rh 2.80
N 0.0000 0.0000 0.5000  2 Rh 1.83
Cd 0.5000 0.5000 0.5000  8 Te 3.34, 2 Cd 3.66

***

(12)
Density functional theory data (PBE-GGA) for a relaxed structure of PaVSb2.

N(E_F), states/eV per cell: 5.2
Uncorrected formation energy, eV per atom: -0.1161
Total energy, eV/atom: -6.831
Calculated density, g/cm³: 9.3

Lattice parameters (Å, degrees): 3.6859 3.5821 8.1437 116.08 103.07 90.01
With the nearest neighbours (Å) after each atom.
Positions (direct):
Sb 0.8677 0.7367 0.5212  4 V 2.82
Sb 0.5954 0.1914 0.9759  2 V 2.72
Pa 0.2218 0.9443 0.2289  8 Sb 3.13-3.30, 1 V 3.24
V 0.4504 0.4022 0.6867  6 Sb 2.72-2.82